P) DFT (PBE) results for a relaxed structure of Ti2GaNi4.

```
data_Ti2GaNi4
_cell_length_a 4.9943
_cell_length_b 7.8275
_cell_length_c 9.7235
_cell_angle_alpha 90.00
_cell_angle_beta 90.00
_cell_angle_gamma 90.00
_symmetry_space_group_name_H-M 'F m m m'
_symmetry_Int_Tables_number 69
_symmetry_space_group_name_Hall '-F 2 2'
loop_
_atom_site_label
_atom_site_fract_x
_atom_site_fract_y
_atom_site_fract_z
_atom_site_occupancy
Ti1 0.0000 0.0000 0.1465 1
Ga1 0.0000 0.0000 0.5000 1
Ni1 0.2500 0.2500 0.0000 1
Ni2 0.2500 0.2500 0.2500 1
```

Computed properties:
total magnetization: 0.0000 μB per atom
ρ: 6.99 Mg/m³

Q) DFT (PBE) results for a relaxed structure of Ti2GaNi4.

```
data_Ti2GaNi4
_cell_length_a 4.2538
_cell_length_b 4.2538
_cell_length_c 12.2939
_cell_angle_alpha 90.00
_cell_angle_beta 90.00
_cell_angle_gamma 90.00
_symmetry_space_group_name_H-M 'I 4/m m m'
_symmetry_Int_Tables_number 139
_symmetry_space_group_name_Hall '-I 4 2'
loop_
_atom_site_label
_atom_site_fract_x
_atom_site_fract_y
_atom_site_fract_z
_atom_site_occupancy
Ti1 0.0000 0.0000 0.1267 1
Ga1 0.0000 0.0000 0.5000 1
Ni1 0.0000 0.0000 0.3073 1
Ni2 0.0000 0.5000 0.0000 1
```

Computed properties:
total magnetization: 0.0000 μB per atom
ρ: 5.98 Mg/m³

The most stable of them is P).

P) DFT (PBE) results for a relaxed structure of TlGa3Ni.

```
data_TlGa3Ni
_cell_length_a 4.6897
_cell_length_b 4.6897
_cell_length_c 4.6897
_cell_angle_alpha 90.00
_cell_angle_beta 90.00
_cell_angle_gamma 90.00
_symmetry_space_group_name_H-M 'P m -3 m'
_symmetry_Int_Tables_number 221
_symmetry_space_group_name_Hall '-P 4 2 3'
loop_
_atom_site_label
_atom_site_fract_x
_atom_site_fract_y
_atom_site_fract_z
_atom_site_occupancy
Tl1 0.0000 0.0000 0.0000 1
Ga1 0.0000 0.5000 0.5000 1
Ni1 0.5000 0.5000 0.5000 1
```

Computed properties:
total magnetization: 0.0000 μB per atom
ρ: 7.60 Mg/m³

Q) DFT (PBE) results for a relaxed structure of TlGa3Ni.

```
data_TlGa3Ni
_cell_length_a 5.3081
_cell_length_b 5.3081
_cell_length_c 5.3081
_cell_angle_alpha 90.00
_cell_angle_beta 90.00
_cell_angle_gamma 90.00
_symmetry_space_group_name_H-M 'P m -3 m'
_symmetry_Int_Tables_number 221
_symmetry_space_group_name_Hall '-P 4 2 3'
loop_
_atom_site_label
_atom_site_fract_x
_atom_site_fract_y
_atom_site_fract_z
_atom_site_occupancy
Tl1 0.0000 0.0000 0.0000 1
Ga1 0.0000 0.0000 0.5000 1
Ni1 0.5000 0.5000 0.5000 1
```

Computed properties:
total magnetization: 0.0000 μB per atom
ρ: 5.24 Mg/m³

The most stable of them is P).

P) DFT (PBE) results for a relaxed structure of TmGa3Ni.

```
data_TmGa3Ni
_cell_length_a 8.0863
_cell_length_b 4.0320
_cell_length_c 10.5287
_cell_angle_alpha 90.00
_cell_angle_beta 90.00
_cell_angle_gamma 90.00
_symmetry_space_group_name_H-M 'P n m a'
_symmetry_Int_Tables_number 62
_symmetry_space_group_name_Hall '-P 2ac 2n'
loop_
_atom_site_label
_atom_site_fract_x
_atom_site_fract_y
_atom_site_fract_z
_atom_site_occupancy
Tm1 0.1924 0.2500 0.0128 1
Ga1 0.0615 0.2500 0.5861 1
Ga2 0.1103 0.7500 0.8037 1
Ga3 0.1419 0.7500 0.2172 1
Ni1 0.1011 0.2500 0.3551 1
```

Computed properties:
total magnetization: 0.0000 μB per atom
ρ: 8.45 Mg/m³

Q) DFT (PBE) results for a relaxed structure of TmGa3Ni.

```
data_TmGa3Ni
_cell_length_a 5.8392
_cell_length_b 5.8466
_cell_length_c 5.8951
_cell_angle_alpha 90.00
_cell_angle_beta 119.65
_cell_angle_gamma 90.00
_symmetry_space_group_name_H-M 'C 1 m 1'
_symmetry_Int_Tables_number 8
_symmetry_space_group_name_Hall 'C -2y'
loop_
_atom_site_label
_atom_site_fract_x
_atom_site_fract_y
_atom_site_fract_z
_atom_site_occupancy
Tm1 0.0000 0.0000 0.0000 1
Ga1 0.0014 0.2502 0.5043 1
Ga2 0.0867 0.5000 0.1737 1
Ni1 0.3636 0.0000 0.7285 1
```

Computed properties:
total magnetization: 0.0000 μB per atom
ρ: 8.29 Mg/m³

The most stable of them is P).

P) DFT (PBE) results for a relaxed structure of TmGa2Ni9.

```
data_TmGa2Ni9
_cell_length_a 8.0143
_cell_length_b 8.0143
_cell_length_c 4.7487
_cell_angle_alpha 90.00
_cell_angle_beta 90.00
_cell_angle_gamma 90.00
_symmetry_space_group_name_H-M 'P 4/m b m'
_symmetry_Int_Tables_number 127
_symmetry_space_group_name_Hall '-P 4 2ab'
loop_
_atom_site_label
_atom_site_fract_x
_atom_site_fract_y
_atom_site_fract_z
_atom_site_occupancy
Tm1 0.0000 0.0000 0.0000 1
Ga1 0.1225 0.3775 0.0000 1
Ni1 0.0000 0.5000 0.5000 1
Ni2 0.0640 0.2074 0.5000 1
Ni3 0.1775 0.6775 0.2404 1
```

Computed properties:
total magnetization: 0.1150 μB per atom
ρ: 9.11 Mg/m³

Q) DFT (PBE) results for a relaxed structure of TmGa2Ni9.

```
data_TmGa2Ni9
_cell_length_a 4.8300
_cell_length_b 4.8300
_cell_length_c 22.9638
_cell_angle_alpha 90.00
_cell_angle_beta 90.00
_cell_angle_gamma 120.00
_symmetry_space_group_name_H-M 'R -3 m'
_symmetry_Int_Tables_number 166
_symmetry_space_group_name_Hall '-R 3 2"'
loop_
_atom_site_label
_atom_site_fract_x
_atom_site_fract_y
_atom_site_fract_z
_atom_site_occupancy
Tm1 0.0000 0.0000 0.0000 1
Ga1 0.0000 0.0000 0.1414 1
Ni1 0.0000 0.0000 0.3341 1
Ni2 0.0000 0.0000 0.5000 1
Ni3 0.0060 0.5030 0.9133 1
```

Computed properties:
total magnetization: 0.0494 μB per atom
ρ: 8.98 Mg/m³

The most stable of them is P).

P) DFT (PBE) results for a relaxed structure of Tm2Ga5Ni3.

```
data_Tm2Ga5Ni3
_cell_length_a 4.1494
_cell_length_b 24.0564
_cell_length_c 6.5166
_cell_angle_alpha 90.00
_cell_angle_beta 90.00
_cell_angle_gamma 90.00
_symmetry_space_group_name_H-M 'C m c 21'
_symmetry_Int_Tables_number 36
_symmetry_space_group_name_Hall 'C 2c -2'
loop_
_atom_site_label
_atom_site_fract_x
_atom_site_fract_y
_atom_site_fract_z
_atom_site_occupancy
Tm1 0.0000 0.0190 0.0000 1
Tm2 0.0000 0.3261 0.9634 1
Ga1 0.0000 0.1000 0.6509 1
Ga2 0.0000 0.2062 0.1582 1
Ga3 0.0000 0.2108 0.7548 1
Ga4 0.0000 0.3751 0.4911 1
Ga5 0.0000 0.4476 0.8198 1
Ni1 0.0000 0.1072 0.2641 1
Ni2 0.0000 0.2733 0.4537 1
Ni3 0.0000 0.4503 0.2147 1
```

Computed properties:
total magnetization: 0.0000 μB per atom
ρ: 8.81 Mg/m³

Q) DFT (PBE) results for a relaxed structure of Tm2Ga5Ni3.

```
data_Tm2Ga5Ni3
_cell_length_a 9.7456
_cell_length_b 12.3378
_cell_length_c 5.4581
_cell_angle_alpha 90.00
_cell_angle_beta 90.00
_cell_angle_gamma 90.00
_symmetry_space_group_name_H-M 'I b a m'
_symmetry_Int_Tables_number 72
_symmetry_space_group_name_Hall '-I 2 2c'
loop_
_atom_site_label
_atom_site_fract_x
_atom_site_fract_y
_atom_site_fract_z
_atom_site_occupancy
Tm1 0.2212 0.1471 0.0000 1
Ga1 0.0000 0.0000 0.2500 1
Ga2 0.0000 0.2941 0.2500 1
Ga3 0.1774 0.4143 0.0000 1
Ni1 0.0000 0.5000 0.2500 1
Ni2 0.0898 0.1469 0.5000 1
```

Computed properties:
total magnetization: 0.0000 μB per atom
ρ: 8.73 Mg/m³

The most stable of them is Q).